[1]
Material: AlCdSi2
Method: DFT, PBE
State: relaxed

Properties
relative energy among the computed polymorphs = 0.112 eV per atom
E_form (uncorrected) = 0.405 eV per atom
calculated volume = 71.8 Å³/f.u.

Cell lengths 5.090, 5.090, 2.773 Å; angles 90.00, 90.00, 90.00 degrees
Fractional coordinates of all 4 atoms:
Al1 0.000 0.000 0.000
Cd1 0.500 0.500 0.000
Si1 0.000 0.500 0.500
Si2 0.500 0.000 0.500



[2]
Material: AlCd2Si
Method: DFT, PBE
State: relaxed

Properties
relative energy among the computed polymorphs = 0.067 eV per atom
E_form (uncorrected) = 0.267 eV per atom
calculated volume = 80.6 Å³/f.u.

Cell lengths 4.749, 4.749, 5.813 Å; angles 102.70, 102.70, 39.19 degrees
Fractional coordinates of all 4 atoms:
Al1 0.000 0.000 0.000
Cd1 0.247 0.247 0.736
Cd2 0.488 0.488 0.465
Si1 0.739 0.739 0.191



[3]
Material: AlCdSi2
Method: DFT, PBE
State: relaxed

Properties
relative energy among the computed polymorphs = 0.065 eV per atom
E_form (uncorrected) = 0.358 eV per atom
calculated volume = 71.3 Å³/f.u.

Cell lengths 2.873, 2.873, 8.686 Å; angles 90.00, 90.00, 96.40 degrees
Fractional coordinates of all 4 atoms:
Al1 0.000 0.000 0.000
Cd1 0.000 0.000 0.500
Si1 0.500 0.500 0.214
Si2 0.500 0.500 0.786



[4]
Material: Al2CdSi2
Method: DFT, PBE
State: relaxed

Properties
E_form (uncorrected) = 0.259 eV per atom
calculated volume = 91.9 Å³/f.u.

Cell lengths 6.969, 6.969, 6.969 Å; angles 148.54, 148.54, 45.09 degrees
Fractional coordinates of all 5 atoms:
Al1 0.106 0.106 0.000
Al2 0.894 0.894 0.000
Cd1 0.500 0.500 0.000
Si1 0.250 0.750 0.500
Si2 0.750 0.250 0.500



[5]
Material: AlCd2Si
Method: DFT, PBE
State: relaxed

Properties
relative energy among the computed polymorphs = 0.010 eV per atom
E_form (uncorrected) = 0.210 eV per atom
calculated volume = 83.8 Å³/f.u.

Cell lengths 6.883, 6.883, 6.883 Å; angles 151.11, 147.75, 43.84 degrees
Fractional coordinates of all 4 atoms:
Al1 0.000 0.000 0.000
Cd1 0.313 0.813 0.500
Cd2 0.687 0.187 0.500
Si1 0.500 0.500 0.000



[6]
Material: AlCdSi2
Method: DFT, PBE
State: relaxed

Properties
relative energy among the computed polymorphs = 0.042 eV per atom
E_form (uncorrected) = 0.335 eV per atom
calculated volume = 72.8 Å³/f.u.

Cell lengths 2.934, 3.668, 6.768 Å; angles 90.00, 90.00, 90.00 degrees
Fractional coordinates of all 4 atoms:
Al1 0.000 0.000 0.000
Cd1 0.000 0.000 0.500
Si1 0.500 0.500 0.196
Si2 0.500 0.500 0.804



[7]
Material: AlCdSi2
Method: DFT, PBE
State: relaxed

Properties
relative energy among the computed polymorphs = 0.154 eV per atom
E_form (uncorrected) = 0.447 eV per atom
calculated volume = 71.5 Å³/f.u.

Cell lengths 2.973, 4.829, 4.983 Å; angles 90.00, 90.00, 90.00 degrees
Fractional coordinates of all 4 atoms:
Al1 0.000 0.000 0.000
Cd1 0.500 0.500 0.000
Si1 0.000 0.500 0.500
Si2 0.500 0.000 0.500



[8]
Material: AlCdSi2
Method: DFT, PBE
State: relaxed

Properties
relative energy among the computed polymorphs = 0.145 eV per atom
E_form (uncorrected) = 0.438 eV per atom
calculated volume = 71.3 Å³/f.u.

Cell lengths 4.893, 4.893, 4.893 Å; angles 127.63, 127.63, 77.23 degrees
Fractional coordinates of all 4 atoms:
Al1 0.000 0.000 0.000
Cd1 0.500 0.500 0.000
Si1 0.250 0.750 0.500
Si2 0.750 0.250 0.500



[9]
Material: AlCdSi2
Method: DFT, PBE
State: relaxed

Properties
relative energy among the computed polymorphs = 0.000 eV per atom
E_form (uncorrected) = 0.293 eV per atom
calculated volume = 74.3 Å³/f.u.

Cell lengths 2.717, 3.598, 7.604 Å; angles 90.00, 90.60, 90.00 degrees
Fractional coordinates of all 4 atoms:
Al1 0.000 0.000 0.000
Cd1 0.498 0.500 0.723
Si1 0.492 0.000 0.426
Si2 0.494 0.500 0.205



[10]
Material: AlCd2Si
Method: DFT, PBE
State: relaxed

Properties
relative energy among the computed polymorphs = 0.188 eV per atom
E_form (uncorrected) = 0.388 eV per atom
calculated volume = 82.3 Å³/f.u.

Cell lengths 4.882, 4.882, 4.882 Å; angles 60.00, 60.00, 60.00 degrees
Fractional coordinates of all 4 atoms:
Al1 0.000 0.000 0.000
Cd1 0.250 0.250 0.250
Cd2 0.750 0.750 0.750
Si1 0.500 0.500 0.500



[11]
Material: AlCd2Si
Method: DFT, PBE
State: relaxed

Properties
relative energy among the computed polymorphs = 0.120 eV per atom
E_form (uncorrected) = 0.320 eV per atom
calculated volume = 80.9 Å³/f.u.

Cell lengths 2.975, 2.975, 11.069 Å; angles 90.00, 90.00, 124.34 degrees
Fractional coordinates of all 4 atoms:
Al1 0.000 0.000 0.000
Cd1 0.500 0.500 0.253
Cd2 0.500 0.500 0.747
Si1 0.000 0.000 0.500



[12]
Material: AlCdSi2
Method: DFT, PBE
State: relaxed

Properties
relative energy among the computed polymorphs = 0.287 eV per atom
E_form (uncorrected) = 0.580 eV per atom
calculated volume = 98.2 Å³/f.u.

Cell lengths 6.629, 6.629, 6.629 Å; angles 122.87, 122.87, 85.10 degrees
Fractional coordinates of all 8 atoms:
Al1 0.000 0.000 0.000
Al2 0.750 0.250 0.500
Cd1 0.250 0.750 0.500
Cd2 0.500 0.500 0.000
Si1 0.103 0.625 0.978
Si2 0.375 0.353 0.478
Si3 0.647 0.125 0.022
Si4 0.875 0.897 0.522



[13]
Material: Al3CdSi
Method: DFT, PBE
State: relaxed

Properties
relative energy among the computed polymorphs = 0.517 eV per atom
E_form (uncorrected) = 1.027 eV per atom
calculated volume = 124.5 Å³/f.u.

Cell lengths 4.993, 4.993, 4.993 Å; angles 90.00, 90.00, 90.00 degrees
Fractional coordinates of all 5 atoms:
Al1 0.000 0.000 0.500
Al2 0.000 0.500 0.000
Al3 0.500 0.000 0.000
Cd1 0.000 0.000 0.000
Si1 0.500 0.500 0.500



[14]
Material: AlCd2SiSn
Method: DFT, PBE
State: relaxed

Properties
E_form (uncorrected) = 0.959 eV per atom
calculated volume = 155.8 Å³/f.u.

Cell lengths 5.468, 5.468, 5.210 Å; angles 90.00, 90.00, 90.00 degrees
Fractional coordinates of all 5 atoms:
Al1 0.000 0.000 0.000
Cd1 0.000 0.500 0.500
Cd2 0.500 0.000 0.500
Si1 0.500 0.500 0.000
Sn1 0.000 0.000 0.500



[15]
Material: Y2AlCdSi
Method: DFT, PBE
State: relaxed

Properties
E_form (uncorrected) = 0.024 eV per atom
calculated volume = 140.4 Å³/f.u.

Cell lengths 5.380, 5.380, 4.850 Å; angles 90.00, 90.00, 90.00 degrees
Fractional coordinates of all 5 atoms:
Y1 0.000 0.500 0.000
Y2 0.500 0.000 0.000
Al1 0.000 0.000 0.500
Cd1 0.500 0.500 0.500
Si1 0.500 0.500 0.000



[16]
Material: Sm4Al12Cd
Method: DFT, PBE
State: relaxed

Properties
energy relative to the elements = -385.1 meV/atom
calculated volume = 349.4 Å³/f.u.

Cell lengths 7.685, 7.685, 7.685 Å; angles 109.47, 109.47, 109.47 degrees
Fractional coordinates of all 17 atoms:
Sm1 0.000 0.000 0.500
Sm2 0.000 0.500 0.000
Sm3 0.500 0.000 0.000
Sm4 0.500 0.500 0.500
Al1 0.000 0.315 0.315
Al2 0.000 0.685 0.685
Al3 0.250 0.500 0.750
Al4 0.250 0.750 0.500
Al5 0.315 0.000 0.315
Al6 0.315 0.315 0.000
Al7 0.500 0.250 0.750
Al8 0.500 0.750 0.250
Al9 0.685 0.000 0.685
Al10 0.685 0.685 0.000
Al11 0.750 0.250 0.500
Al12 0.750 0.500 0.250
Cd1 0.000 0.000 0.000



[17]
Material: Sm3Al2Cd4
Method: DFT, PBE
State: relaxed

Properties
energy relative to the elements = -366.2 meV/atom
calculated volume = 221.1 Å³/f.u.

Cell lengths 6.062, 6.062, 9.157 Å; angles 114.24, 114.24, 47.32 degrees
Fractional coordinates of all 9 atoms:
Sm1 0.000 0.000 0.000
Sm2 0.335 0.335 0.331
Sm3 0.665 0.665 0.669
Al1 0.390 0.390 0.723
Al2 0.610 0.610 0.277
Cd1 0.076 0.076 0.405
Cd2 0.297 0.297 0.959
Cd3 0.703 0.703 0.041
Cd4 0.924 0.924 0.595



[18]
Material: Sm2AlCd
Method: DFT, PBE
State: relaxed

Properties
relative energy among the computed polymorphs = 0.207 eV per atom
energy relative to the elements = -146.4 meV/atom
calculated volume = 114.1 Å³/f.u.

Cell lengths 9.861, 9.861, 9.861 Å; angles 21.62, 21.62, 21.62 degrees
Fractional coordinates of all 4 atoms:
Sm1 0.245 0.245 0.245
Sm2 0.755 0.755 0.755
Al1 0.500 0.500 0.500
Cd1 0.000 0.000 0.000



[19]
Material: Sm3Al8Cd
Method: DFT, PBE
State: relaxed

Properties
energy relative to the elements = -351.3 meV/atom
calculated volume = 249.4 Å³/f.u.

Cell lengths 9.678, 9.678, 9.678 Å; angles 33.76, 33.76, 33.76 degrees
Fractional coordinates of all 12 atoms:
Sm1 0.000 0.000 0.000
Sm2 0.130 0.130 0.130
Sm3 0.509 0.509 0.509
Al1 0.067 0.067 0.561
Al2 0.067 0.561 0.067
Al3 0.069 0.565 0.565
Al4 0.316 0.316 0.316
Al5 0.561 0.067 0.067
Al6 0.565 0.069 0.565
Al7 0.565 0.565 0.069
Al8 0.816 0.816 0.816
Cd1 0.631 0.631 0.631



[20]
Material: Sm2Al3Cd
Method: DFT, PBE
State: relaxed

Properties
energy relative to the elements = -435.2 meV/atom
calculated volume = 139.1 Å³/f.u.

Cell lengths 9.308, 8.860, 5.958 Å; angles 74.98, 66.83, 38.19 degrees
Fractional coordinates of all 12 atoms:
Sm1 0.249 0.751 0.751
Sm2 0.250 0.250 0.250
Sm3 0.750 0.750 0.750
Sm4 0.751 0.249 0.249
Al1 0.172 0.664 0.336
Al2 0.336 0.336 0.664
Al3 0.336 0.828 0.172
Al4 0.664 0.172 0.828
Al5 0.664 0.664 0.336
Al6 0.828 0.336 0.664
Cd1 0.167 0.167 0.833
Cd2 0.833 0.833 0.167



[21]
Material: Sm2Al2Cd3
Method: DFT, PBE
State: relaxed

Properties
energy relative to the elements = -292.5 meV/atom
calculated volume = 168.3 Å³/f.u.

Cell lengths 10.939, 10.939, 3.504 Å; angles 90.00, 90.00, 156.33 degrees
Fractional coordinates of all 7 atoms:
Sm1 0.159 0.841 0.000
Sm2 0.841 0.159 0.000
Al1 0.282 0.718 0.500
Al2 0.718 0.282 0.500
Cd1 0.000 0.000 0.000
Cd2 0.428 0.572 0.500
Cd3 0.572 0.428 0.500



[22]
Material: Sm6Al2Cd
Method: DFT, PBE
State: relaxed

Properties
relative energy among the computed polymorphs = 0.000 eV per atom
energy relative to the elements = -212.5 meV/atom
calculated volume = 268.4 Å³/f.u.

Cell lengths 8.877, 8.877, 8.877 Å; angles 111.96, 110.68, 105.84 degrees
Fractional coordinates of all 18 atoms:
Sm1 0.035 0.822 0.213
Sm2 0.247 0.545 0.298
Sm3 0.247 0.948 0.702
Sm4 0.272 0.319 0.592
Sm5 0.272 0.681 0.953
Sm6 0.390 0.178 0.213
Sm7 0.610 0.822 0.787
Sm8 0.728 0.319 0.047
Sm9 0.728 0.681 0.408
Sm10 0.753 0.052 0.298
Sm11 0.753 0.455 0.702
Sm12 0.965 0.178 0.787
Al1 0.000 0.138 0.138
Al2 0.000 0.862 0.862
Al3 0.378 0.378 0.000
Al4 0.622 0.622 0.000
Cd1 0.000 0.500 0.500
Cd2 0.500 0.000 0.500



[23]
Material: Sm4AlCd3
Method: DFT, PBE
State: relaxed

Properties
relative energy among the computed polymorphs = 0.052 eV per atom
energy relative to the elements = -278.6 meV/atom
calculated volume = 218.6 Å³/f.u.

Cell lengths 3.632, 4.877, 12.342 Å; angles 90.00, 90.00, 90.00 degrees
Fractional coordinates of all 8 atoms:
Sm1 0.000 0.000 0.000
Sm2 0.000 0.500 0.311
Sm3 0.500 0.000 0.489
Sm4 0.500 0.500 0.816
Al1 0.500 0.000 0.225
Cd1 0.000 0.000 0.725
Cd2 0.000 0.500 0.584
Cd3 0.500 0.500 0.088



[24]
Material: Sm4Al3Cd
Method: DFT, PBE
State: relaxed

Properties
relative energy among the computed polymorphs = 0.038 eV per atom
energy relative to the elements = -320.9 meV/atom
calculated volume = 211.0 Å³/f.u.

Cell lengths 3.757, 4.639, 12.109 Å; angles 90.00, 90.00, 90.00 degrees
Fractional coordinates of all 8 atoms:
Sm1 0.000 0.000 0.000
Sm2 0.000 0.500 0.305
Sm3 0.500 0.000 0.492
Sm4 0.500 0.500 0.811
Al1 0.000 0.500 0.582
Al2 0.500 0.000 0.218
Al3 0.500 0.500 0.086
Cd1 0.000 0.000 0.717



[25]
Material: SmAlCd11
Method: DFT, PBE
State: relaxed

Properties
energy relative to the elements = -79.3 meV/atom
calculated volume = 292.0 Å³/f.u.

Cell lengths 7.663, 7.663, 7.577 Å; angles 98.49, 98.49, 134.71 degrees
Fractional coordinates of all 13 atoms:
Sm1 0.000 0.000 0.000
Al1 0.500 0.500 0.500
Cd1 0.000 0.000 0.500
Cd2 0.000 0.500 0.000
Cd3 0.009 0.356 0.354
Cd4 0.292 0.502 0.786
Cd5 0.356 0.009 0.354
Cd6 0.498 0.708 0.214
Cd7 0.500 0.000 0.000
Cd8 0.502 0.292 0.786
Cd9 0.644 0.991 0.646
Cd10 0.708 0.498 0.214
Cd11 0.991 0.644 0.646



[26]
Material: Sm6AlCd5
Method: DFT, PBE
State: relaxed

Properties
energy relative to the elements = -325.5 meV/atom
calculated volume = 327.7 Å³/f.u.

Cell lengths 8.453, 8.453, 7.651 Å; angles 90.00, 90.00, 143.18 degrees
Fractional coordinates of all 12 atoms:
Sm1 0.000 0.000 0.241
Sm2 0.000 0.000 0.759
Sm3 0.337 0.663 0.245
Sm4 0.337 0.663 0.755
Sm5 0.663 0.337 0.245
Sm6 0.663 0.337 0.755
Al1 0.500 0.500 0.000
Cd1 0.168 0.832 0.500
Cd2 0.170 0.830 0.000
Cd3 0.500 0.500 0.500
Cd4 0.830 0.170 0.000
Cd5 0.832 0.168 0.500



| no. | total moment (μB/cell) |
| --- | --- |
| 1 | 0.0 |
| 2 | 0.0 |
| 3 | 0.0 |
| 4 | 0.0 |
| 5 | 0.0 |
| 6 | 0.0 |
| 7 | 0.0 |
| 8 | 0.0 |
| 9 | 0.0 |
| 10 | 0.0 |
| 11 | 0.0 |
| 12 | 0.0 |
| 13 | 0.0 |
| 14 | 0.0 |
| 15 | 0.0 |
| 16 | 0.0 |
| 17 | 0.0 |
| 18 | 0.0 |
| 19 | 0.0 |
| 20 | 0.0 |
| 21 | 0.0 |
| 22 | 0.0 |
| 23 | 0.0 |
| 24 | 0.0 |
| 25 | 0.0 |
| 26 | 0.0 |